This record from Alexandria via LeMat-Bulk describes a relaxed structure of ScIO2F. The functional is GGA-PBE.

Lattice parameters (Å, degrees): 3.961 3.961 6.539 90.00 90.00 90.00
Sites, in units of the cell vectors:
Sc 0.000 0.000 0.000
I 0.000 0.000 0.500
O 0.000 0.500 0.000
O 0.500 0.000 0.000
F 0.500 0.500 0.500

Computed properties:
* calculated total energy: -5.2078 eV per atom
* formation energy without anion corrections: -1.2740 eV/atom
* mass density: 3.6 g/cm³